A geometry-optimized Cs2TaAgI6 structure, computed with PBE.

Electronic total energy, Ry per atom: -0.2412
ΔE_f (raw), meV per atom: -711
SG: I4/mmm, No. 139

abc: 8.3644 8.3644 8.3740
angles: 60.04 60.04 90.00
Fractional coordinates of all 10 atoms:
Ag  0.5000  0.5000  0.0000
I  0.7589  0.7589  0.4822
I  0.7583  0.2417  0.0000
I  0.2417  0.2417  0.0000
I  0.2417  0.7583  0.0000
I  0.2411  0.2411  0.5178
I  0.7583  0.7583  0.0000
Cs  0.2500  0.7500  0.5000
Cs  0.7500  0.2500  0.5000
Ta  0.0000  0.0000  0.0000